DFT (PBE) results for crystalline BeCuP at its relaxed geometry.

Unit cell a=3.6001 b=3.6001 c=6.8238 alpha=90.00 beta=90.00 gamma=120.00
Closest atoms and distances in Å follow each position.
Positions (direct):
Be (0.3333, 0.6667, 0.2500)  3 P 2.08
Be (0.6667, 0.3333, 0.7500)  3 P 2.08
Cu (0.0000, 0.0000, 0.0000)  6 P 2.69, 6 Be 2.69
Cu (0.0000, 0.0000, 0.5000)  6 Be 2.69, 6 P 2.69
P (0.3333, 0.6667, 0.7500)  3 Be 2.08
P (0.6667, 0.3333, 0.2500)  3 Be 2.08

## Properties
energy of formation from the pure elements	0.05	eV/atom
SG	P6_3/mmc, No. 194
total moment	0.00	μB/cell
calculated volume	12.77	Å³ per atom
crystal system	hexagonal


DFT (PBE) results for crystalline BeCu3P at its relaxed geometry.

Unit cell a=4.0473 b=4.0473 c=4.0473 alpha=90.00 beta=90.00 gamma=90.00
Closest atoms and distances in Å follow each position.
Positions (direct):
Be (0.0000, 0.0000, 0.0000)  6 Cu 2.02
Cu (0.0000, 0.0000, 0.5000)  2 Be 2.02
Cu (0.0000, 0.5000, 0.0000)  2 Be 2.02
Cu (0.5000, 0.0000, 0.0000)  2 Be 2.02
P (0.5000, 0.5000, 0.5000)  12 Cu 2.86

## Properties
energy of formation from the pure elements	0.57	eV/atom
SG	Pm-3m, No. 221
total moment	0.00	μB/cell
calculated volume	13.26	Å³ per atom
crystal system	cubic


DFT (PBE) results for crystalline BeCuP3 at its relaxed geometry.

Unit cell a=4.4562 b=4.4562 c=4.4562 alpha=90.00 beta=90.00 gamma=90.00
Closest atoms and distances in Å follow each position.
Positions (direct):
Be (0.0000, 0.0000, 0.0000)  12 P 3.15
Cu (0.5000, 0.5000, 0.5000)  6 P 2.23
P (0.0000, 0.5000, 0.5000)  2 Cu 2.23
P (0.5000, 0.0000, 0.5000)  2 Cu 2.23
P (0.5000, 0.5000, 0.0000)  2 Cu 2.23

## Properties
energy of formation from the pure elements	1.21	eV/atom
SG	Pm-3m, No. 221
total moment	0.00	μB/cell
calculated volume	17.70	Å³ per atom
crystal system	cubic


DFT (PBE) results for crystalline BeCuP2 at its relaxed geometry.

Unit cell a=3.6072 b=3.6072 c=4.6579 alpha=90.06 beta=90.06 gamma=59.82
Closest atoms and distances in Å follow each position.
Positions (direct):
Be (0.0000, 0.0000, 0.0000)  6 P 2.32-2.35, 2 Cu 2.33
Cu (0.0000, 0.0000, 0.5000)  2 Be 2.33, 6 P 2.43-2.47
P (0.3371, 0.3371, 0.2239)  3 Be 2.32-2.35, 3 Cu 2.43-2.47
P (0.6629, 0.6629, 0.7761)  3 Be 2.32-2.35, 3 Cu 2.43-2.47

## Properties
energy of formation from the pure elements	0.07	eV/atom
SG	C2/m, No. 12
total moment	0.00	μB/cell
calculated volume	13.10	Å³ per atom
crystal system	monoclinic


DFT (PBE) results for crystalline BeCuP at its relaxed geometry.

Unit cell a=4.0717 b=4.0717 c=6.2412 alpha=93.90 beta=93.90 gamma=52.61
Closest atoms and distances in Å follow each position.
Positions (direct):
Be (0.0000, 0.0000, 0.0000)  4 Cu 2.16-2.39, 3 P 2.18-2.31
Be (0.5772, 0.5772, 0.4983)  3 P 2.10-2.19
Cu (0.2937, 0.2937, 0.9720)  3 Be 2.16-2.35, 1 P 2.33
Cu (0.8567, 0.8567, 0.3323)  3 P 2.23-2.30, 2 Be 2.36-2.39
P (0.1619, 0.1619, 0.3323)  3 Be 2.19-2.31, 3 Cu 2.23-2.30
P (0.5822, 0.5822, 0.8356)  3 Be 2.10-2.18, 1 Cu 2.33

## Properties
energy of formation from the pure elements	-0.11	eV/atom
SG	Cm, No. 8
total moment	0.00	μB/cell
calculated volume	13.66	Å³ per atom
crystal system	monoclinic


DFT (PBE) results for crystalline BeCuP at its relaxed geometry.

Unit cell a=4.1068 b=4.1068 c=6.3863 alpha=92.08 beta=92.08 gamma=52.14
Closest atoms and distances in Å follow each position.
Positions (direct):
Be (0.0000, 0.0000, 0.0000)  3 P 2.13-2.22, 1 Cu 2.29
Be (0.5613, 0.5613, 0.4957)  3 P 2.10-2.12, 1 Cu 2.34
Cu (0.2890, 0.2890, 0.8842)  3 P 2.25-2.35, 3 Be 2.29-2.48
Cu (0.7201, 0.7201, 0.1851)  4 P 2.33-2.57, 2 Be 2.34-2.42
P (0.0137, 0.0137, 0.3344)  3 Be 2.10-2.13, 1 Cu 2.33
P (0.5883, 0.5883, 0.8278)  3 Be 2.12-2.22, 3 Cu 2.25-2.35

## Properties
energy of formation from the pure elements	-0.13	eV/atom
SG	Cm, No. 8
total moment	0.00	μB/cell
calculated volume	14.16	Å³ per atom
crystal system	monoclinic


DFT (PBE) results for crystalline BeCuP2 at its relaxed geometry.

Unit cell a=2.7128 b=2.7128 c=6.8072 alpha=90.00 beta=90.00 gamma=90.00
Closest atoms and distances in Å follow each position.
Positions (direct):
Be (0.0000, 0.0000, 0.0000)  8 P 2.48, 4 Be 2.71
Cu (0.0000, 0.0000, 0.5000)  8 P 2.65, 4 Cu 2.71
P (0.5000, 0.5000, 0.2311)  4 Be 2.48, 4 Cu 2.65, 4 P 2.71
P (0.5000, 0.5000, 0.7689)  4 Be 2.48, 4 Cu 2.65, 4 P 2.71

## Properties
energy of formation from the pure elements	0.42	eV/atom
SG	P4/mmm, No. 123
total moment	0.00	μB/cell
calculated volume	12.52	Å³ per atom
crystal system	tetragonal


DFT (PBE) results for crystalline BeCuP2 at its relaxed geometry.

Unit cell a=7.2348 b=7.2348 c=7.2348 alpha=146.23 beta=146.23 gamma=48.51
Closest atoms and distances in Å follow each position.
Positions (direct):
Be (0.0000, 0.0000, 0.0000)  4 P 2.18
Be (0.7500, 0.2500, 0.5000)  4 P 2.18
Cu (0.2500, 0.7500, 0.5000)  4 P 2.27
Cu (0.5000, 0.5000, 0.0000)  4 P 2.27
P (0.1026, 0.6250, 0.9776)  2 Be 2.18, 2 Cu 2.27
P (0.3750, 0.3526, 0.4776)  2 Be 2.18, 2 Cu 2.27
P (0.6474, 0.1250, 0.0224)  2 Be 2.18, 2 Cu 2.27
P (0.8750, 0.8974, 0.5224)  2 Be 2.18, 2 Cu 2.27

## Properties
energy of formation from the pure elements	0.07	eV/atom
SG	I-42d, No. 122
total moment	0.00	μB/cell
calculated volume	14.56	Å³ per atom
crystal system	tetragonal


Please write out number 8 again, unchanged.
DFT (PBE) results for crystalline BeCuP2 at its relaxed geometry.

Unit cell a=7.2348 b=7.2348 c=7.2348 alpha=146.23 beta=146.23 gamma=48.51
Closest atoms and distances in Å follow each position.
Positions (direct):
Be (0.0000, 0.0000, 0.0000)  4 P 2.18
Be (0.7500, 0.2500, 0.5000)  4 P 2.18
Cu (0.2500, 0.7500, 0.5000)  4 P 2.27
Cu (0.5000, 0.5000, 0.0000)  4 P 2.27
P (0.1026, 0.6250, 0.9776)  2 Be 2.18, 2 Cu 2.27
P (0.3750, 0.3526, 0.4776)  2 Be 2.18, 2 Cu 2.27
P (0.6474, 0.1250, 0.0224)  2 Be 2.18, 2 Cu 2.27
P (0.8750, 0.8974, 0.5224)  2 Be 2.18, 2 Cu 2.27

## Properties
energy of formation from the pure elements	0.07	eV/atom
SG	I-42d, No. 122
total moment	0.00	μB/cell
calculated volume	14.56	Å³ per atom
crystal system	tetragonal